Here is a relaxed Pu2VO11 crystal from Alexandria via LeMat-Bulk. Energies are from PBE+U.

As for the symmetry: No. 1. The calculation puts the total energy at -8.153 eV/atom.

Lattice parameters (Å, degrees): 8.2052 8.3996 8.5006 63.15 82.42 62.93
With the nearest neighbours (Å) after each atom.
Positions (direct):
1 Pu 0.0000 0.0000 0.0000  3 O 1.80-1.98
2 Pu 0.1210 0.4541 0.8609  3 O 1.80-1.98
3 Pu 0.4497 0.7890 0.6181  3 O 1.78-1.87
4 Pu 0.6267 0.5148 0.3078  3 O 1.82-2.02
5 V 0.0369 0.5393 0.4114  2 O 1.60-1.77
6 V 0.5715 0.0105 0.8925  3 O 1.65-1.82
7 O 0.0005 0.2462 0.8376  1 Pu 1.90
8 O 0.0606 0.5785 0.6019  1 V 1.84, 1 Pu 1.98
9 O 0.1794 0.3485 0.0945  1 Pu 1.80
10 O 0.1872 0.9572 0.1271  1 Pu 1.80
11 O 0.2175 0.7117 0.7738  1 O 1.37
12 O 0.2202 0.8289 0.8436  1 O 1.37
13 O 0.2321 0.3632 0.4153  1 V 1.60
14 O 0.2657 0.0093 0.4686  1 Pu 1.78
15 O 0.3752 0.2482 0.8530  1 V 1.82, 1 Pu 2.03
16 O 0.4378 0.5530 0.1830  1 Pu 1.82
17 O 0.4621 0.6310 0.4655  2 Pu 2.02-2.20
18 O 0.5300 0.9533 0.7447  1 V 1.65
19 O 0.5904 0.8235 0.0985  1 V 1.71
20 O 0.6052 0.5633 0.7933  1 Pu 1.79
21 O 0.6342 0.8327 0.4761  1 Pu 1.87
22 O 0.6634 0.2656 0.4791  1 Pu 1.84
23 O 0.7848 0.0440 0.8762  1 V 1.87, 1 Pu 1.98
24 O 0.7970 0.1790 0.1540  1 O 1.30
25 O 0.8219 0.3198 0.1566  1 O 1.30
26 O 0.8658 0.4617 0.4229  1 V 1.77
27 O 0.8991 0.6412 0.8755  1 Pu 1.82
28 O 0.9902 0.7538 0.1969  1 V 1.82, 1 Pu 2.02